[1]
# ZrZnTe2 PBE optimized geometry
# **DOS at the Fermi energy**: 0.8362 states/eV/atom
# **E**: -0.1558 hartree per atom
# **Magnetic moment**: 3.07 μB/cell
# **Formation energy from raw total energies**: -0.21 eV/atom
data_ZrZnTe2
_chemical_formula_sum 'Zr4 Zn4 Te8'
_symmetry_space_group_name_H-M 'I -4 2 d'
_symmetry_Int_Tables_number 122
_symmetry_space_group_name_Hall 'I -4 2bw'
_cell_length_a 6.624
_cell_length_b 6.624
_cell_length_c 11.898
_cell_angle_alpha 90.00
_cell_angle_beta 90.00
_cell_angle_gamma 90.00
loop_
_atom_site_label
_atom_site_type_symbol
_atom_site_fract_x
_atom_site_fract_y
_atom_site_fract_z
_atom_site_occupancy
Zr1 Zr 0.000 0.000 0.000 1
Zn1 Zn 0.000 0.000 0.500 1
Te1 Te 0.232 0.250 0.625 1

=====

[2]
# SrYAl PBE optimized geometry
# **DOS at the Fermi energy**: 0.7195 states/eV/atom
# **E**: -0.1501 hartree per atom
# **Calculated formation energy**: -0.1208 eV per atom
# **Excess energy over the best structure of this formula in the dataset**: 90.7 meV per atom
# **Magnetic moment**: 0.00 μB/cell
data_SrYAl
_chemical_formula_sum 'Sr2 Y2 Al2'
_symmetry_space_group_name_H-M 'P -1'
_symmetry_Int_Tables_number 2
_symmetry_space_group_name_Hall '-P 1'
_cell_length_a 3.618
_cell_length_b 5.057
_cell_length_c 10.978
_cell_angle_alpha 86.65
_cell_angle_beta 80.55
_cell_angle_gamma 90.00
loop_
_atom_site_label
_atom_site_type_symbol
_atom_site_fract_x
_atom_site_fract_y
_atom_site_fract_z
_atom_site_occupancy
Sr1 Sr 0.185 0.235 0.128 1
Y1 Y 0.066 0.713 0.367 1
Al1 Al 0.451 0.803 0.599 1

=====

Q: magnetic moment of number 2 (SrYAl)?
A: 0.00 μB/cell

=====

Q: Which of these has the lowest DOS at the Fermi energy?
A: SrYAl

=====

Copy entry 2 word for word.
# SrYAl PBE optimized geometry
# **DOS at the Fermi energy**: 0.7195 states/eV/atom
# **E**: -0.1501 hartree per atom
# **Calculated formation energy**: -0.1208 eV per atom
# **Excess energy over the best structure of this formula in the dataset**: 90.7 meV per atom
# **Magnetic moment**: 0.00 μB/cell
data_SrYAl
_chemical_formula_sum 'Sr2 Y2 Al2'
_symmetry_space_group_name_H-M 'P -1'
_symmetry_Int_Tables_number 2
_symmetry_space_group_name_Hall '-P 1'
_cell_length_a 3.618
_cell_length_b 5.057
_cell_length_c 10.978
_cell_angle_alpha 86.65
_cell_angle_beta 80.55
_cell_angle_gamma 90.00
loop_
_atom_site_label
_atom_site_type_symbol
_atom_site_fract_x
_atom_site_fract_y
_atom_site_fract_z
_atom_site_occupancy
Sr1 Sr 0.185 0.235 0.128 1
Y1 Y 0.066 0.713 0.367 1
Al1 Al 0.451 0.803 0.599 1